Model P:
The following is a PBE calculation of Cu9Ag after structural relaxation, from the Open Quantum Materials Database.

Geometry as CIF:
```
data_Cu9Ag
_symmetry_space_group_name_H-M 'P 1'
_symmetry_Int_Tables_number 1
_symmetry_space_group_name_Hall 'P 1'
_cell_length_a 20.895
_cell_length_b 20.895
_cell_length_c 20.895
_cell_angle_alpha 7.23
_cell_angle_beta 7.23
_cell_angle_gamma 7.23
loop_
_atom_site_label
_atom_site_fract_x
_atom_site_fract_y
_atom_site_fract_z
Cu1 0.902 0.902 0.902
Cu2 0.203 0.203 0.203
Cu3 0.398 0.398 0.398
Ag1 0.500 0.500 0.500
Cu4 0.699 0.699 0.699
Cu5 0.602 0.602 0.602
Cu6 0.301 0.301 0.301
Cu7 0.797 0.797 0.797
Cu8 0.000 0.000 0.000
Cu9 0.098 0.098 0.098
```

Computed properties:
SG = No. 166
Crystal system = trigonal

Model Q:
The following is a PBE calculation of Cu9Ag after structural relaxation, from the Open Quantum Materials Database.

Geometry as CIF:
```
data_Cu9Ag
_symmetry_space_group_name_H-M 'P 1'
_symmetry_Int_Tables_number 1
_symmetry_space_group_name_Hall 'P 1'
_cell_length_a 5.699
_cell_length_b 5.699
_cell_length_c 8.649
_cell_angle_alpha 100.58
_cell_angle_beta 100.58
_cell_angle_gamma 26.69
loop_
_atom_site_label
_atom_site_fract_x
_atom_site_fract_y
_atom_site_fract_z
Cu1 0.099 0.099 0.786
Cu2 0.700 0.700 0.596
Cu3 0.300 0.300 0.404
Ag1 0.500 0.500 0.000
Cu4 0.901 0.901 0.214
Cu5 0.396 0.396 0.694
Cu6 0.604 0.604 0.306
Cu7 0.210 0.210 0.107
Cu8 0.790 0.790 0.893
Cu9 0.000 0.000 0.500
```

Computed properties:
SG = No. 12
Crystal system = monoclinic

Energy relative to the most stable one, in eV/atom: model P 0.012; model Q 0.000

Model P:
The following is a PBE calculation of YTlFeCo after structural relaxation, from the Open Quantum Materials Database.

Geometry as CIF:
```
data_YTlFeCo
_symmetry_space_group_name_H-M 'P 1'
_symmetry_Int_Tables_number 1
_symmetry_space_group_name_Hall 'P 1'
_cell_length_a 4.647
_cell_length_b 4.647
_cell_length_c 4.647
_cell_angle_alpha 60.00
_cell_angle_beta 60.00
_cell_angle_gamma 60.00
loop_
_atom_site_label
_atom_site_fract_x
_atom_site_fract_y
_atom_site_fract_z
Fe1 0.250 0.250 0.250
Tl1 0.000 0.000 0.000
Co1 0.750 0.750 0.750
Y1 0.500 0.500 0.500
```

Computed properties:
SG = No. 216
Crystal system = cubic

Model Q:
The following is a PBE calculation of YTlFeCo after structural relaxation, from the Open Quantum Materials Database.

Geometry as CIF:
```
data_YTlFeCo
_symmetry_space_group_name_H-M 'P 1'
_symmetry_Int_Tables_number 1
_symmetry_space_group_name_Hall 'P 1'
_cell_length_a 4.685
_cell_length_b 4.685
_cell_length_c 4.685
_cell_angle_alpha 60.00
_cell_angle_beta 60.00
_cell_angle_gamma 60.00
loop_
_atom_site_label
_atom_site_fract_x
_atom_site_fract_y
_atom_site_fract_z
Y1 0.250 0.250 0.250
Tl1 0.000 0.000 0.000
Fe1 0.750 0.750 0.750
Co1 0.500 0.500 0.500
```

Computed properties:
SG = No. 216
Crystal system = cubic

Energy relative to the most stable one, in eV/atom: model P 0.000; model Q 0.068

Model P:
The following is a PBE calculation of BaMgSnPd after structural relaxation, from the Open Quantum Materials Database.

Geometry as CIF:
```
data_BaMgSnPd
_symmetry_space_group_name_H-M 'P 1'
_symmetry_Int_Tables_number 1
_symmetry_space_group_name_Hall 'P 1'
_cell_length_a 5.245
_cell_length_b 5.245
_cell_length_c 5.245
_cell_angle_alpha 60.00
_cell_angle_beta 60.00
_cell_angle_gamma 60.00
loop_
_atom_site_label
_atom_site_fract_x
_atom_site_fract_y
_atom_site_fract_z
Sn1 0.250 0.250 0.250
Mg1 0.750 0.750 0.750
Pd1 0.500 0.500 0.500
Ba1 0.000 0.000 0.000
```

Computed properties:
SG = No. 216
Crystal system = cubic

Model Q:
The following is a PBE calculation of BaMgSnPd after structural relaxation, from the Open Quantum Materials Database.

Geometry as CIF:
```
data_BaMgSnPd
_symmetry_space_group_name_H-M 'P 1'
_symmetry_Int_Tables_number 1
_symmetry_space_group_name_Hall 'P 1'
_cell_length_a 5.340
_cell_length_b 5.340
_cell_length_c 5.340
_cell_angle_alpha 60.00
_cell_angle_beta 60.00
_cell_angle_gamma 60.00
loop_
_atom_site_label
_atom_site_fract_x
_atom_site_fract_y
_atom_site_fract_z
Sn1 0.000 0.000 0.000
Mg1 0.750 0.750 0.750
Pd1 0.500 0.500 0.500
Ba1 0.250 0.250 0.250
```

Computed properties:
SG = No. 216
Crystal system = cubic

Energy relative to the most stable one, in eV/atom: model P 0.024; model Q 0.000

Model P:
The following is a PBE calculation of SmZr2 after structural relaxation, from the Open Quantum Materials Database.

Geometry as CIF:
```
data_SmZr2
_symmetry_space_group_name_H-M 'P 1'
_symmetry_Int_Tables_number 1
_symmetry_space_group_name_Hall 'P 1'
_cell_length_a 17.823
_cell_length_b 3.308
_cell_length_c 5.342
_cell_angle_alpha 90.00
_cell_angle_beta 90.00
_cell_angle_gamma 90.00
loop_
_atom_site_label
_atom_site_fract_x
_atom_site_fract_y
_atom_site_fract_z
Sm1 0.781 0.000 0.500
Zr1 0.596 0.500 0.500
Zr2 0.997 0.000 0.000
Zr3 0.448 0.000 0.500
Zr4 0.497 0.500 0.000
Zr5 0.096 0.000 0.500
Sm2 0.281 0.500 0.500
Sm3 0.163 0.500 0.000
Sm4 0.663 0.000 0.000
Zr6 0.948 0.500 0.500
Zr7 0.349 0.000 0.000
Zr8 0.849 0.500 0.000
```

Computed properties:
SG = No. 63
Crystal system = orthorhombic

Model Q:
The following is a PBE calculation of SmZr2 after structural relaxation, from the Open Quantum Materials Database.

Geometry as CIF:
```
data_SmZr2
_symmetry_space_group_name_H-M 'P 1'
_symmetry_Int_Tables_number 1
_symmetry_space_group_name_Hall 'P 1'
_cell_length_a 17.460
_cell_length_b 3.310
_cell_length_c 5.386
_cell_angle_alpha 90.00
_cell_angle_beta 90.00
_cell_angle_gamma 90.00
loop_
_atom_site_label
_atom_site_fract_x
_atom_site_fract_y
_atom_site_fract_z
Zr1 0.939 0.500 0.500
Zr2 0.005 0.000 0.000
Zr3 0.169 0.500 0.000
Zr4 0.505 0.500 0.000
Sm1 0.609 0.500 0.500
Zr5 0.776 0.000 0.500
Zr6 0.669 0.000 0.000
Zr7 0.275 0.500 0.500
Sm2 0.836 0.500 0.000
Zr8 0.439 0.000 0.500
Sm3 0.336 0.000 0.000
Sm4 0.109 0.000 0.500
```

Computed properties:
SG = No. 63
Crystal system = orthorhombic

Energy relative to the most stable one, in eV/atom: model P 0.000; model Q 0.062

Model P:
The following is a PBE calculation of LiTaMoW after structural relaxation, from the Open Quantum Materials Database.

Geometry as CIF:
```
data_LiTaMoW
_symmetry_space_group_name_H-M 'P 1'
_symmetry_Int_Tables_number 1
_symmetry_space_group_name_Hall 'P 1'
_cell_length_a 4.469
_cell_length_b 4.469
_cell_length_c 4.469
_cell_angle_alpha 60.00
_cell_angle_beta 60.00
_cell_angle_gamma 60.00
loop_
_atom_site_label
_atom_site_fract_x
_atom_site_fract_y
_atom_site_fract_z
Ta1 0.500 0.500 0.500
Mo1 0.000 0.000 0.000
Li1 0.750 0.750 0.750
W1 0.250 0.250 0.250
```

Computed properties:
SG = No. 216
Crystal system = cubic

Model Q:
The following is a PBE calculation of LiTaMoW after structural relaxation, from the Open Quantum Materials Database.

Geometry as CIF:
```
data_LiTaMoW
_symmetry_space_group_name_H-M 'P 1'
_symmetry_Int_Tables_number 1
_symmetry_space_group_name_Hall 'P 1'
_cell_length_a 4.459
_cell_length_b 4.459
_cell_length_c 4.459
_cell_angle_alpha 60.00
_cell_angle_beta 60.00
_cell_angle_gamma 60.00
loop_
_atom_site_label
_atom_site_fract_x
_atom_site_fract_y
_atom_site_fract_z
W1 0.000 0.000 0.000
Ta1 0.500 0.500 0.500
Mo1 0.250 0.250 0.250
Li1 0.750 0.750 0.750
```

Computed properties:
SG = No. 216
Crystal system = cubic

Energy relative to the most stable one, in eV/atom: model P 0.000; model Q 0.012